Computed, not measured: an optimized crystal structure of KBa8 at the PBE level of DFT.

Calculated values
**M_tot**: 0.00 μB per formula unit
**DFT formation energy**: 0.05 eV/atom

abc: 10.118 10.118 10.118
angles: 95.75 95.75 143.09
Element x y z (fractional)
1 K 0.000 0.000 0.000
2 Ba 0.000 0.333 0.333
3 Ba 0.000 0.667 0.667
4 Ba 0.332 0.332 0.665
5 Ba 0.332 0.668 0.000
6 Ba 0.333 0.000 0.333
7 Ba 0.667 0.000 0.667
8 Ba 0.668 0.332 0.000
9 Ba 0.668 0.668 0.335